1.
Below is a geometry-optimized Be4Cu structure, with properties calculated at the PBEsol level.

Lattice parameters (Å, degrees): 3.2026 3.9865 3.9865 80.71 66.32 66.32
Last column: nearest neighbours and their distance in Å.
Element x y z (fractional)
Be 0.5971 0.2072 0.5987  9 Be 2.26-2.33, 3 Cu 2.30-2.31
Be 0.8042 0.5987 0.7928  9 Be 2.26-2.33, 3 Cu 2.30-2.31
Be 0.1958 0.4013 0.2072  9 Be 2.26-2.33, 3 Cu 2.30-2.31
Be 0.4029 0.7928 0.4013  9 Be 2.26-2.33, 3 Cu 2.30-2.31
Cu 0.0000 0.0000 0.0000  12 Be 2.30-2.31

The calculation puts the energy relative to the elements at -0.0327 eV/atom.

2.
Below is a geometry-optimized Te16Rh15 structure, with properties calculated at the PBEsol level.

Lattice parameters (Å, degrees): 7.9940 8.8999 8.8939 102.21 90.00 90.00
Last column: nearest neighbours and their distance in Å.
Element x y z (fractional)
Te 0.7520 0.5448 0.7115  5 Rh 2.63-2.70
Te 0.5000 0.7050 0.0392  6 Rh 2.72-2.76
Te 0.5000 0.2950 0.9608  6 Rh 2.72-2.76
Te 0.2529 0.9575 0.7913  6 Rh 2.68-2.77
Te 0.7471 0.9575 0.7913  6 Rh 2.68-2.77
Te 0.2480 0.5448 0.7115  5 Rh 2.63-2.70
Te 0.0000 0.2078 0.5371  6 Rh 2.69-2.78
Te 0.5000 0.2080 0.5368  5 Rh 2.61-2.66
Te 0.7520 0.4552 0.2885  5 Rh 2.63-2.70
Te 0.0000 0.7146 0.0538  6 Rh 2.66-2.69
Te 0.2480 0.4552 0.2885  5 Rh 2.63-2.70
Te 0.0000 0.7922 0.4629  6 Rh 2.69-2.78
Te 0.0000 0.2854 0.9462  6 Rh 2.66-2.69
Te 0.5000 0.7920 0.4632  5 Rh 2.61-2.66
Te 0.7471 0.0425 0.2087  6 Rh 2.68-2.77
Te 0.2529 0.0425 0.2087  6 Rh 2.68-2.77
Rh 0.0000 0.7445 0.7621  6 Te 2.64-2.78, 2 Rh 2.76-2.83
Rh 0.2546 0.2557 0.7436  6 Te 2.65-2.77, 2 Rh 2.79-2.80
Rh 0.2364 0.5000 0.0000  6 Te 2.66-2.76, 2 Rh 2.80
Rh 0.5000 0.7386 0.7409  6 Te 2.61-2.74, 1 Rh 2.91
Rh 0.5000 0.2614 0.2591  6 Te 2.61-2.74, 1 Rh 2.91
Rh 0.0000 0.2555 0.2379  6 Te 2.64-2.78, 2 Rh 2.76-2.83
Rh 0.7454 0.2557 0.7436  6 Te 2.65-2.77, 2 Rh 2.79-2.80
Rh 0.7636 0.5000 0.0000  6 Te 2.66-2.76, 2 Rh 2.80
Rh 0.2546 0.7443 0.2564  6 Te 2.65-2.77, 2 Rh 2.79-2.80
Rh 0.7405 0.0000 0.5000  6 Te 2.64-2.75, 2 Rh 2.79
Rh 0.0000 0.5000 0.5000  6 Te 2.69-2.70, 2 Rh 2.83
Rh 0.2595 0.0000 0.5000  6 Te 2.64-2.75, 2 Rh 2.79
Rh 0.5000 0.0000 0.0000  6 Te 2.68-2.72, 2 Rh 2.91
Rh 0.7454 0.7443 0.2564  6 Te 2.65-2.77, 2 Rh 2.79-2.80
Rh 0.0000 0.0000 0.0000  6 Te 2.68-2.72, 2 Rh 2.76

3.
Below is a geometry-optimized SbSe2Cl structure, with properties calculated at the PBEsol level.

Lattice parameters (Å, degrees): 3.7811 3.7811 6.4824 90.00 90.00 90.00
Last column: nearest neighbours and their distance in Å.
Element x y z (fractional)
Cl 0.5000 0.5000 0.0000  2 Sb 3.24, 8 Se 3.32
Se 0.0000 0.0000 0.3037  1 Se 2.54
Se 0.0000 0.0000 0.6963  1 Se 2.54
Sb 0.5000 0.5000 0.5000  8 Se 2.96, 2 Cl 3.24

The energy relative to the lowest polymorph listed for this composition is 189 meV per atom.

Calculated values (eV per formula unit) of final energy for the records, taken in order: -20.50 -189.14 -14.33.